(1)
# RbNb2In | Alexandria via LeMat-Bulk | PBE | relaxed
# Energy: -70.42 eV for the cell shown
# DFT formation energy: 1.560 eV per atom
# Spin magnetization: 6.7 Bohr magnetons per cell
data_RbNb2In
_symmetry_space_group_name_H-M 'I -4 2 d'
_symmetry_Int_Tables_number 122
_symmetry_space_group_name_Hall 'I -4 2bw'
_cell_length_a 8.543
_cell_length_b 8.543
_cell_length_c 5.839
_cell_angle_alpha 90.00
_cell_angle_beta 90.00
_cell_angle_gamma 90.00
loop_
_atom_site_label
_atom_site_type_symbol
_atom_site_fract_x
_atom_site_fract_y
_atom_site_fract_z
Rb1 Rb 0.000 0.000 0.000
Nb1 Nb 0.210 0.250 0.625
In1 In 0.000 0.000 0.500

***

(2)
# Zr4TaRu5 | Alexandria via LeMat-Bulk | PBE | relaxed
# Energy: -98.20 eV for the cell shown
# DFT formation energy: -0.578 eV per atom
# Spin magnetization: 0.0 Bohr magnetons per cell
data_Zr4TaRu5
_symmetry_space_group_name_H-M 'P 4/m m m'
_symmetry_Int_Tables_number 123
_symmetry_space_group_name_Hall '-P 4 2'
_cell_length_a 3.256
_cell_length_b 3.256
_cell_length_c 16.260
_cell_angle_alpha 90.00
_cell_angle_beta 90.00
_cell_angle_gamma 90.00
loop_
_atom_site_label
_atom_site_type_symbol
_atom_site_fract_x
_atom_site_fract_y
_atom_site_fract_z
Zr1 Zr 0.000 0.000 0.101
Zr2 Zr 0.000 0.000 0.303
Ta1 Ta 0.000 0.000 0.500
Ru1 Ru 0.500 0.500 0.000
Ru2 Ru 0.500 0.500 0.202
Ru3 Ru 0.500 0.500 0.407

***

(3)
# PaBeTe2 | Alexandria via LeMat-Bulk | PBE | relaxed
# Energy: -56.12 eV for the cell shown
# Spin magnetization: 1.4 Bohr magnetons per cell
data_PaBeTe2
_symmetry_space_group_name_H-M 'R -3 m'
_symmetry_Int_Tables_number 166
_symmetry_space_group_name_Hall '-R 3 2"'
_cell_length_a 3.4478
_cell_length_b 3.4478
_cell_length_c 28.3493
_cell_angle_alpha 90.00
_cell_angle_beta 90.00
_cell_angle_gamma 120.00
loop_
_atom_site_label
_atom_site_type_symbol
_atom_site_fract_x
_atom_site_fract_y
_atom_site_fract_z
Pa1 Pa 0.0000 0.0000 0.0000
Be1 Be 0.0000 0.0000 0.5000
Te1 Te 0.0000 0.0000 0.1101

***

(4)
# Na3ZnAu2 | Alexandria via LeMat-Bulk | PBE | relaxed
# Energy: -52.86 eV for the cell shown
# DFT formation energy: -0.238 eV per atom
# Energy above the most stable polymorph in this dataset: 24 meV per atom
# Spin magnetization: 0.0 Bohr magnetons per cell
data_Na3ZnAu2
_symmetry_space_group_name_H-M 'I b a m'
_symmetry_Int_Tables_number 72
_symmetry_space_group_name_Hall '-I 2 2c'
_cell_length_a 6.087
_cell_length_b 15.468
_cell_length_c 5.991
_cell_angle_alpha 90.00
_cell_angle_beta 90.00
_cell_angle_gamma 90.00
loop_
_atom_site_label
_atom_site_type_symbol
_atom_site_fract_x
_atom_site_fract_y
_atom_site_fract_z
Na1 Na 0.000 0.000 0.250
Na2 Na 0.216 0.183 0.000
Zn1 Zn 0.000 0.500 0.250
Au1 Au 0.204 0.382 0.000

***

(5)
# LiBeTcRu | Alexandria via LeMat-Bulk | PBE | relaxed
# Energy: -101.83 eV for the cell shown
# DFT formation energy: -0.044 eV per atom
# Spin magnetization: 0.0 Bohr magnetons per cell
data_LiBeTcRu
_symmetry_space_group_name_H-M 'F -4 3 m'
_symmetry_Int_Tables_number 216
_symmetry_space_group_name_Hall 'F -4 2 3'
_cell_length_a 5.803
_cell_length_b 5.803
_cell_length_c 5.803
_cell_angle_alpha 90.00
_cell_angle_beta 90.00
_cell_angle_gamma 90.00
loop_
_atom_site_label
_atom_site_type_symbol
_atom_site_fract_x
_atom_site_fract_y
_atom_site_fract_z
Li1 Li 0.000 0.000 0.000
Be1 Be 0.250 0.250 0.250
Tc1 Tc 0.250 0.250 0.750
Ru1 Ru 0.000 0.000 0.500

***

(6)
# BaLiSn4 | Alexandria via LeMat-Bulk | PBE | relaxed
# Energy: -88.55 eV for the cell shown
# DFT formation energy: -0.381 eV per atom
# Energy above the most stable polymorph in this dataset: 0 meV per atom
# Spin magnetization: 0.0 Bohr magnetons per cell
data_BaLiSn4
_symmetry_space_group_name_H-M 'C m c m'
_symmetry_Int_Tables_number 63
_symmetry_space_group_name_Hall '-C 2c 2'
_cell_length_a 4.869
_cell_length_b 18.474
_cell_length_c 7.459
_cell_angle_alpha 90.00
_cell_angle_beta 90.00
_cell_angle_gamma 90.00
loop_
_atom_site_label
_atom_site_type_symbol
_atom_site_fract_x
_atom_site_fract_y
_atom_site_fract_z
Ba1 Ba 0.000 0.115 0.250
Li1 Li 0.000 0.226 0.750
Sn1 Sn 0.000 0.075 0.750
Sn2 Sn 0.000 0.315 0.055
Sn3 Sn 0.000 0.500 0.000